[1]
The following is a DFT calculation (PBE) of a geometry-optimized ScNiAg2 structure.

Energy of formation, kJ/mol of atoms: -9.19
Total magnetization, μB per cell: 0.00
Density of states at the Fermi level, states/eV per cell: 3.39

extended XYZ file:
```
4
Lattice="3.869 0.000 0.000 0.000 3.957 0.000 0.000 0.000 4.447" Properties=species:S:1:pos:R:3 pbc="T T T"
Sc 0.000 0.000 0.000
Ni 1.934 1.978 0.000
Ag 0.000 1.978 2.223
Ag 1.934 0.000 2.223
```



[2]
The following is a DFT calculation (PBE) of a geometry-optimized Nd2PuBi3 structure.

Energy of formation, kJ/mol of atoms: -71.16
Total magnetization, μB per cell: 20.32
Offset from the most stable computed form, meV per atom: 0
Density of states at the Fermi level, states/eV per cell: 66.13

extended XYZ file:
```
24
Lattice="0.000 6.487 13.750 4.588 0.000 13.750 4.588 6.487 0.000" Properties=species:S:1:pos:R:3 pbc="T T T"
Nd 1.147 1.622 1.165
Nd 3.441 4.865 3.414
Nd 1.147 1.622 5.710
Nd 5.735 8.108 10.289
Nd 3.441 4.865 17.211
Nd 8.029 11.351 21.791
Nd 5.735 8.108 24.086
Nd 8.029 11.351 26.335
Pu 3.441 4.865 8.018
Pu 3.441 4.865 12.607
Pu 5.735 8.108 14.893
Pu 5.735 8.108 19.482
Bi 3.465 1.655 7.994
Bi 5.688 4.865 10.313
Bi 3.418 1.655 12.631
Bi 5.712 4.898 14.869
Bi 7.982 8.108 17.188
Bi 5.759 4.898 19.506
Bi 3.418 8.075 7.994
Bi 1.195 4.865 10.313
Bi 3.465 8.075 12.631
Bi 5.759 11.318 14.869
Bi 3.489 8.108 17.188
Bi 5.712 11.318 19.506
```



[3]
The following is a DFT calculation (PBE) of a geometry-optimized Er5ScCd4 structure.

Energy of formation, kJ/mol of atoms: -22.86
Total magnetization, μB per cell: 0.00
Density of states at the Fermi level, states/eV per cell: 10.12

extended XYZ file:
```
10
Lattice="3.641 0.000 0.000 0.000 3.641 0.000 0.000 0.000 19.675" Properties=species:S:1:pos:R:3 pbc="T T T"
Er 0.000 0.000 0.000
Er 0.000 0.000 3.805
Er 0.000 0.000 7.722
Er 0.000 0.000 11.953
Er 0.000 0.000 15.870
Sc 1.820 1.820 9.837
Cd 1.820 1.820 1.909
Cd 1.820 1.820 5.760
Cd 1.820 1.820 13.915
Cd 1.820 1.820 17.766
```



[4]
The following is a DFT calculation (PBE) of a geometry-optimized SrAl2PtBr structure.

Total magnetization, μB per cell: 0.23
E_form (uncorrected), eV/f.u.: 5.25
Density of states at the Fermi level, states/eV per cell: 5.11

extended XYZ file:
```
5
Lattice="6.182 0.000 0.000 0.000 6.182 0.000 0.000 0.000 5.457" Properties=species:S:1:pos:R:3 pbc="T T T"
Sr 0.000 0.000 0.000
Al 0.000 3.091 0.000
Al 3.091 0.000 0.000
Pt 3.091 3.091 2.729
Br 0.000 0.000 2.729
```



[5]
The following is a DFT calculation (PBE) of a geometry-optimized CsY2PdF structure.

Total magnetization, μB per cell: 0.89
E_form (uncorrected), eV/f.u.: -1.83
Density of states at the Fermi level, states/eV per cell: 3.79

extended XYZ file:
```
5
Lattice="5.222 0.000 0.000 0.000 5.222 0.000 0.000 0.000 9.349" Properties=species:S:1:pos:R:3 pbc="T T T"
Cs 0.000 0.000 0.000
Y 0.000 2.611 4.674
Y 2.611 0.000 4.674
Pd 2.611 2.611 4.674
F 2.611 2.611 0.000
```